[1]
Entry from Alexandria via LeMat-Bulk: a geometry-optimized VNi2PdPt structure (PBE).

a = 5.947 Å, b = 3.719 Å, c = 5.993 Å
α = 90.00°, β = 91.19°, γ = 90.00°
Fractional positions:
V 0.062 0.250 0.325
V 0.938 0.750 0.675
Ni 0.138 0.750 0.054
Ni 0.338 0.750 0.441
Ni 0.662 0.250 0.559
Ni 0.862 0.250 0.946
Pd 0.443 0.250 0.157
Pd 0.557 0.750 0.843
Pt 0.232 0.250 0.727
Pt 0.768 0.750 0.273

Values from the calculation:
The value obtained for the energy of formation from the pure elements is -0.248 eV/atom. For the magnetization, the calculation gives 0.0000 μB per atom. The total energy comes out at -6.631 eV/atom.

---

[2]
Entry from Alexandria via LeMat-Bulk: a geometry-optimized La2SmTmTe6 structure (PBE).

a = 8.430 Å, b = 8.430 Å, c = 8.430 Å
α = 56.38°, β = 56.38°, γ = 56.38°
Fractional positions:
La 0.000 0.000 0.000
La 0.499 0.499 0.499
Sm 0.304 0.304 0.304
Tm 0.805 0.805 0.805
Te 0.076 0.425 0.692
Te 0.185 0.917 0.584
Te 0.425 0.692 0.076
Te 0.584 0.185 0.917
Te 0.692 0.076 0.425
Te 0.917 0.584 0.185

Values from the calculation:
The raw formation energy is -1434 meV per atom. For the magnetization, the calculation gives 0.0000 μB per atom. The total energy comes out at -5.223 eV/atom.

---

[3]
Entry from Alexandria via LeMat-Bulk: a geometry-optimized Np2CoS6 structure (PBE).

a = 5.974 Å, b = 5.974 Å, c = 11.111 Å
α = 90.00°, β = 90.00°, γ = 90.00°
Fractional positions:
Np 0.000 0.000 0.176
Np 0.000 0.000 0.824
Np 0.500 0.500 0.324
Np 0.500 0.500 0.676
Co 0.000 0.000 0.500
Co 0.500 0.500 0.000
S 0.193 0.193 0.357
S 0.193 0.193 0.643
S 0.209 0.209 0.000
S 0.291 0.709 0.500
S 0.307 0.693 0.143
S 0.307 0.693 0.857
S 0.693 0.307 0.143
S 0.693 0.307 0.857
S 0.709 0.291 0.500
S 0.791 0.791 0.000
S 0.807 0.807 0.357
S 0.807 0.807 0.643

Values from the calculation:
The raw formation energy is -760 meV per atom. For the magnetization, the calculation gives 0.5529 μB per atom. The total energy comes out at -7.177 eV/atom.

---

[4]
Entry from Alexandria via LeMat-Bulk: a geometry-optimized Tb2Cl3 structure (PBE).

a = 8.141 Å, b = 8.141 Å, c = 10.418 Å
α = 118.84°, β = 118.84°, γ = 27.52°
Fractional positions:
Tb 0.085 0.085 0.452
Tb 0.361 0.361 0.209
Tb 0.639 0.639 0.791
Tb 0.915 0.915 0.548
Cl 0.161 0.161 0.007
Cl 0.275 0.275 0.381
Cl 0.458 0.458 0.761
Cl 0.542 0.542 0.239
Cl 0.725 0.725 0.619
Cl 0.839 0.839 0.993

Values from the calculation:
The raw formation energy is -1839 meV per atom. For the magnetization, the calculation gives 0.0000 μB per atom. The total energy comes out at -4.799 eV/atom.

---

Mass density in g/cm3, matching the order above: 11.77, 5.83, 6.08, 5.09